[1]
A relaxed LiErCd6 crystal, computed with GGA-PBE.

Cell and atoms, written as CIF:
```
data_LiErCd6
_cell_length_a 4.559
_cell_length_b 4.559
_cell_length_c 8.570
_cell_angle_alpha 90.00
_cell_angle_beta 90.00
_cell_angle_gamma 90.00
_symmetry_space_group_name_H-M 'P 4/m m m'
_symmetry_Int_Tables_number 123
_symmetry_space_group_name_Hall '-P 4 2'
loop_
_atom_site_label
_atom_site_type_symbol
_atom_site_fract_x
_atom_site_fract_y
_atom_site_fract_z
Li1 Li 0.000 0.000 0.000
Er1 Er 0.000 0.000 0.500
Cd1 Cd 0.000 0.500 0.236
Cd2 Cd 0.500 0.500 0.000
Cd3 Cd 0.500 0.500 0.500
```



[2]
A relaxed LiErCd11 crystal, computed with GGA-PBE.

Cell and atoms, written as CIF:
```
data_LiErCd11
_cell_length_a 5.847
_cell_length_b 13.998
_cell_length_c 7.564
_cell_angle_alpha 90.00
_cell_angle_beta 112.47
_cell_angle_gamma 90.00
_symmetry_space_group_name_H-M 'C 1 2/m 1'
_symmetry_Int_Tables_number 12
loop_
_symmetry_equiv_pos_as_xyz
'x,y,z'
'-x,-y,-z'
'-x,y,-z'
'x,-y,z'
'x+1/2,y+1/2,z'
'-x+1/2,-y+1/2,-z'
'-x+1/2,y+1/2,-z'
'x+1/2,-y+1/2,z'
loop_
_atom_site_label
_atom_site_type_symbol
_atom_site_fract_x
_atom_site_fract_y
_atom_site_fract_z
Li1 Li 0.000 0.000 0.000
Er1 Er 0.000 0.500 0.500
Cd1 Cd 0.000 0.500 0.000
Cd2 Cd 0.094 0.104 0.717
Cd3 Cd 0.185 0.329 0.853
Cd4 Cd 0.250 0.250 0.500
```



[3]
A relaxed LiEr7Cd4 crystal, computed with GGA-PBE.

Cell and atoms, written as CIF:
```
data_LiEr7Cd4
_cell_length_a 14.586
_cell_length_b 5.556
_cell_length_c 9.504
_cell_angle_alpha 90.00
_cell_angle_beta 121.97
_cell_angle_gamma 90.00
_symmetry_space_group_name_H-M 'C 1 2/m 1'
_symmetry_Int_Tables_number 12
loop_
_symmetry_equiv_pos_as_xyz
'x,y,z'
'-x,-y,-z'
'-x,y,-z'
'x,-y,z'
'x+1/2,y+1/2,z'
'-x+1/2,-y+1/2,-z'
'-x+1/2,y+1/2,-z'
'x+1/2,-y+1/2,z'
loop_
_atom_site_label
_atom_site_type_symbol
_atom_site_fract_x
_atom_site_fract_y
_atom_site_fract_z
Li1 Li 0.000 0.000 0.000
Er1 Er 0.000 0.500 0.000
Er2 Er 0.077 0.000 0.425
Er3 Er 0.196 0.000 0.877
Er4 Er 0.250 0.000 0.287
Cd1 Cd 0.043 0.500 0.701
Cd2 Cd 0.179 0.500 0.347
```



The records above give, respectively, total magnetization values of 0.0, 0.0, 0.0 Bohr magnetons per cell.
The records above give, respectively, DFT formation energy values of -151, -140, -4 kJ/mol of formula units.